Mn2BRh5 | PBE | optimized geometry

Output
For the density, the calculation gives 10.2 g/cm3. The calculation puts the formation energy at -0.1063 eV per atom.

Unit cell a=5.223 b=9.952 c=3.964 alpha=90.00 beta=90.00 gamma=90.00
Space group Pbam (No. 55)
Inequivalent atoms, fractional coordinates:
Mn  0.152  0.143  0.000 [4 per cell]
B  0.000  0.500  0.500 [2 per cell]
Rh  0.000  0.000  0.500 [2 per cell]
Rh  0.097  0.721  0.500 [4 per cell]
Rh  0.171  0.401  0.000 [4 per cell]